# LiNi3B2 PBE optimized geometry
# Total magnetization = 0.00 μB/f.u.
# Offset from the most stable computed form = 0.0000 eV per atom
data_LiNi3B2
_chemical_formula_sum 'Li3 Ni9 B6'
_symmetry_space_group_name_H-M 'P 64 2 2'
_symmetry_Int_Tables_number 181
_symmetry_space_group_name_Hall 'P 64 2 (0 0 2)'
_cell_length_a 4.8457
_cell_length_b 4.8457
_cell_length_c 8.6333
_cell_angle_alpha 90.00
_cell_angle_beta 90.00
_cell_angle_gamma 120.00
loop_
_atom_site_label
_atom_site_type_symbol
_atom_site_fract_x
_atom_site_fract_y
_atom_site_fract_z
Li1 Li 0.0000 0.0000 0.0000
Ni1 Ni 0.0000 0.5000 0.1227
Ni2 Ni 0.0000 0.5000 0.8333
B1 B 0.2182 0.6091 0.3333



# LiNi3B PBE optimized geometry
# Total magnetization = 0.00 μB/f.u.
# Offset from the most stable computed form = 0.0000 eV per atom
data_LiNi3B
_chemical_formula_sum 'Li4 Ni12 B4'
_symmetry_space_group_name_H-M 'C m c 21'
_symmetry_Int_Tables_number 36
_cell_length_a 4.888
_cell_length_b 8.764
_cell_length_c 4.983
_cell_angle_alpha 90.00
_cell_angle_beta 90.00
_cell_angle_gamma 90.00
loop_
_symmetry_equiv_pos_as_xyz
'x,y,z'
'-x,-y,z+1/2'
'-x,y,z'
'x,-y,z+1/2'
'x+1/2,y+1/2,z'
'-x+1/2,-y+1/2,z+1/2'
'-x+1/2,y+1/2,z'
'x+1/2,-y+1/2,z+1/2'
loop_
_atom_site_label
_atom_site_type_symbol
_atom_site_fract_x
_atom_site_fract_y
_atom_site_fract_z
Li1 Li 0.000 0.044 0.000
Ni1 Ni 0.000 0.446 0.796
Ni2 Ni 0.248 0.295 0.134
B1 B 0.000 0.347 0.443



# LiNiB4 PBE optimized geometry
# Total magnetization = 0.00 μB/f.u.
# Offset from the most stable computed form = 0.0435 eV per atom
data_LiNiB4
_chemical_formula_sum 'Li2 Ni2 B8'
_symmetry_space_group_name_H-M 'I m m m'
_symmetry_Int_Tables_number 71
_symmetry_space_group_name_Hall '-I 2 2'
_cell_length_a 2.962
_cell_length_b 5.152
_cell_length_c 6.245
_cell_angle_alpha 90.00
_cell_angle_beta 90.00
_cell_angle_gamma 90.00
loop_
_atom_site_label
_atom_site_type_symbol
_atom_site_fract_x
_atom_site_fract_y
_atom_site_fract_z
Li1 Li 0.000 0.000 0.000
Ni1 Ni 0.000 0.000 0.500
B1 B 0.000 0.337 0.254



# LiNiBPb PBE optimized geometry
# Total magnetization = 0.00 μB/f.u.
# Offset from the most stable computed form = 0.1304 eV per atom
data_LiNiBPb
_chemical_formula_sum 'Li4 Ni4 B4 Pb4'
_symmetry_space_group_name_H-M 'F -4 3 m'
_symmetry_Int_Tables_number 216
_symmetry_space_group_name_Hall 'F -4 2 3'
_cell_length_a 6.152
_cell_length_b 6.152
_cell_length_c 6.152
_cell_angle_alpha 90.00
_cell_angle_beta 90.00
_cell_angle_gamma 90.00
loop_
_atom_site_label
_atom_site_type_symbol
_atom_site_fract_x
_atom_site_fract_y
_atom_site_fract_z
Li1 Li 0.000 0.000 0.000
Ni1 Ni 0.250 0.250 0.250
B1 B 0.250 0.250 0.750
Pb1 Pb 0.000 0.000 0.500



# LiNiBPb PBE optimized geometry
# Total magnetization = 0.00 μB/f.u.
# Offset from the most stable computed form = 0.0000 eV per atom
data_LiNiBPb
_chemical_formula_sum 'Li4 Ni4 B4 Pb4'
_symmetry_space_group_name_H-M 'F -4 3 m'
_symmetry_Int_Tables_number 216
_symmetry_space_group_name_Hall 'F -4 2 3'
_cell_length_a 6.038
_cell_length_b 6.038
_cell_length_c 6.038
_cell_angle_alpha 90.00
_cell_angle_beta 90.00
_cell_angle_gamma 90.00
loop_
_atom_site_label
_atom_site_type_symbol
_atom_site_fract_x
_atom_site_fract_y
_atom_site_fract_z
Li1 Li 0.000 0.000 0.000
Ni1 Ni 0.000 0.000 0.500
B1 B 0.250 0.250 0.250
Pb1 Pb 0.250 0.250 0.750



# LiNiBPb PBE optimized geometry
# Total magnetization = 0.00 μB/f.u.
# Offset from the most stable computed form = 0.0936 eV per atom
data_LiNiBPb
_chemical_formula_sum 'Li4 Ni4 B4 Pb4'
_symmetry_space_group_name_H-M 'F -4 3 m'
_symmetry_Int_Tables_number 216
_symmetry_space_group_name_Hall 'F -4 2 3'
_cell_length_a 6.045
_cell_length_b 6.045
_cell_length_c 6.045
_cell_angle_alpha 90.00
_cell_angle_beta 90.00
_cell_angle_gamma 90.00
loop_
_atom_site_label
_atom_site_type_symbol
_atom_site_fract_x
_atom_site_fract_y
_atom_site_fract_z
Li1 Li 0.000 0.000 0.000
Ni1 Ni 0.250 0.250 0.250
B1 B 0.000 0.000 0.500
Pb1 Pb 0.250 0.250 0.750



# LiNiBPd PBE optimized geometry
# Total magnetization = 0.02 μB/f.u.
# Offset from the most stable computed form = 0.3066 eV per atom
data_LiNiBPd
_chemical_formula_sum 'Li4 Ni4 B4 Pd4'
_symmetry_space_group_name_H-M 'F -4 3 m'
_symmetry_Int_Tables_number 216
_symmetry_space_group_name_Hall 'F -4 2 3'
_cell_length_a 5.574
_cell_length_b 5.574
_cell_length_c 5.574
_cell_angle_alpha 90.00
_cell_angle_beta 90.00
_cell_angle_gamma 90.00
loop_
_atom_site_label
_atom_site_type_symbol
_atom_site_fract_x
_atom_site_fract_y
_atom_site_fract_z
Li1 Li 0.000 0.000 0.000
Ni1 Ni 0.250 0.250 0.750
B1 B 0.250 0.250 0.250
Pd1 Pd 0.000 0.000 0.500



# LiNiBPd PBE optimized geometry
# Total magnetization = 0.05 μB/f.u.
# Offset from the most stable computed form = 0.0000 eV per atom
data_LiNiBPd
_chemical_formula_sum 'Li4 Ni4 B4 Pd4'
_symmetry_space_group_name_H-M 'F -4 3 m'
_symmetry_Int_Tables_number 216
_symmetry_space_group_name_Hall 'F -4 2 3'
_cell_length_a 5.423
_cell_length_b 5.423
_cell_length_c 5.423
_cell_angle_alpha 90.00
_cell_angle_beta 90.00
_cell_angle_gamma 90.00
loop_
_atom_site_label
_atom_site_type_symbol
_atom_site_fract_x
_atom_site_fract_y
_atom_site_fract_z
Li1 Li 0.000 0.000 0.000
Ni1 Ni 0.250 0.250 0.750
B1 B 0.000 0.000 0.500
Pd1 Pd 0.250 0.250 0.250



# LiSiNiB PBE optimized geometry
# Total magnetization = 0.00 μB/f.u.
# Offset from the most stable computed form = 0.0674 eV per atom
data_LiSiNiB
_chemical_formula_sum 'Li4 Si4 Ni4 B4'
_symmetry_space_group_name_H-M 'F -4 3 m'
_symmetry_Int_Tables_number 216
_symmetry_space_group_name_Hall 'F -4 2 3'
_cell_length_a 5.378
_cell_length_b 5.378
_cell_length_c 5.378
_cell_angle_alpha 90.00
_cell_angle_beta 90.00
_cell_angle_gamma 90.00
loop_
_atom_site_label
_atom_site_type_symbol
_atom_site_fract_x
_atom_site_fract_y
_atom_site_fract_z
Li1 Li 0.000 0.000 0.000
Si1 Si 0.000 0.000 0.500
Ni1 Ni 0.250 0.250 0.250
B1 B 0.250 0.250 0.750



# LiSiNiB PBE optimized geometry
# Total magnetization = 0.00 μB/f.u.
# Offset from the most stable computed form = 0.0000 eV per atom
data_LiSiNiB
_chemical_formula_sum 'Li4 Si4 Ni4 B4'
_symmetry_space_group_name_H-M 'F -4 3 m'
_symmetry_Int_Tables_number 216
_symmetry_space_group_name_Hall 'F -4 2 3'
_cell_length_a 5.376
_cell_length_b 5.376
_cell_length_c 5.376
_cell_angle_alpha 90.00
_cell_angle_beta 90.00
_cell_angle_gamma 90.00
loop_
_atom_site_label
_atom_site_type_symbol
_atom_site_fract_x
_atom_site_fract_y
_atom_site_fract_z
Li1 Li 0.000 0.000 0.000
Si1 Si 0.250 0.250 0.750
Ni1 Ni 0.000 0.000 0.500
B1 B 0.250 0.250 0.250



# LiTaNiB PBE optimized geometry
# Total magnetization = 0.00 μB/f.u.
# Offset from the most stable computed form = 0.2172 eV per atom
data_LiTaNiB
_chemical_formula_sum 'Li4 Ta4 Ni4 B4'
_symmetry_space_group_name_H-M 'F -4 3 m'
_symmetry_Int_Tables_number 216
_symmetry_space_group_name_Hall 'F -4 2 3'
_cell_length_a 5.616
_cell_length_b 5.616
_cell_length_c 5.616
_cell_angle_alpha 90.00
_cell_angle_beta 90.00
_cell_angle_gamma 90.00
loop_
_atom_site_label
_atom_site_type_symbol
_atom_site_fract_x
_atom_site_fract_y
_atom_site_fract_z
Li1 Li 0.000 0.000 0.000
Ta1 Ta 0.250 0.250 0.750
Ni1 Ni 0.000 0.000 0.500
B1 B 0.250 0.250 0.250



# LiTaNiB PBE optimized geometry
# Total magnetization = 0.00 μB/f.u.
# Offset from the most stable computed form = 0.0000 eV per atom
data_LiTaNiB
_chemical_formula_sum 'Li4 Ta4 Ni4 B4'
_symmetry_space_group_name_H-M 'F -4 3 m'
_symmetry_Int_Tables_number 216
_symmetry_space_group_name_Hall 'F -4 2 3'
_cell_length_a 5.695
_cell_length_b 5.695
_cell_length_c 5.695
_cell_angle_alpha 90.00
_cell_angle_beta 90.00
_cell_angle_gamma 90.00
loop_
_atom_site_label
_atom_site_type_symbol
_atom_site_fract_x
_atom_site_fract_y
_atom_site_fract_z
Li1 Li 0.000 0.000 0.000
Ta1 Ta 0.000 0.000 0.500
Ni1 Ni 0.250 0.250 0.750
B1 B 0.250 0.250 0.250



# LiTaNiB PBE optimized geometry
# Total magnetization = 0.74 μB/f.u.
# Offset from the most stable computed form = 0.1177 eV per atom
data_LiTaNiB
_chemical_formula_sum 'Li4 Ta4 Ni4 B4'
_symmetry_space_group_name_H-M 'F -4 3 m'
_symmetry_Int_Tables_number 216
_symmetry_space_group_name_Hall 'F -4 2 3'
_cell_length_a 5.579
_cell_length_b 5.579
_cell_length_c 5.579
_cell_angle_alpha 90.00
_cell_angle_beta 90.00
_cell_angle_gamma 90.00
loop_
_atom_site_label
_atom_site_type_symbol
_atom_site_fract_x
_atom_site_fract_y
_atom_site_fract_z
Li1 Li 0.000 0.000 0.000
Ta1 Ta 0.250 0.250 0.250
Ni1 Ni 0.250 0.250 0.750
B1 B 0.000 0.000 0.500



# LiNiBW PBE optimized geometry
# Total magnetization = 0.01 μB/f.u.
# Offset from the most stable computed form = 0.0000 eV per atom
data_LiNiBW
_chemical_formula_sum 'Li4 Ni4 B4 W4'
_symmetry_space_group_name_H-M 'F -4 3 m'
_symmetry_Int_Tables_number 216
_symmetry_space_group_name_Hall 'F -4 2 3'
_cell_length_a 5.616
_cell_length_b 5.616
_cell_length_c 5.616
_cell_angle_alpha 90.00
_cell_angle_beta 90.00
_cell_angle_gamma 90.00
loop_
_atom_site_label
_atom_site_type_symbol
_atom_site_fract_x
_atom_site_fract_y
_atom_site_fract_z
Li1 Li 0.000 0.000 0.000
Ni1 Ni 0.250 0.250 0.750
B1 B 0.250 0.250 0.250
W1 W 0.000 0.000 0.500



# LiNiBW PBE optimized geometry
# Total magnetization = 0.01 μB/f.u.
# Offset from the most stable computed form = 0.3586 eV per atom
data_LiNiBW
_chemical_formula_sum 'Li4 Ni4 B4 W4'
_symmetry_space_group_name_H-M 'F -4 3 m'
_symmetry_Int_Tables_number 216
_symmetry_space_group_name_Hall 'F -4 2 3'
_cell_length_a 5.559
_cell_length_b 5.559
_cell_length_c 5.559
_cell_angle_alpha 90.00
_cell_angle_beta 90.00
_cell_angle_gamma 90.00
loop_
_atom_site_label
_atom_site_type_symbol
_atom_site_fract_x
_atom_site_fract_y
_atom_site_fract_z
Li1 Li 0.000 0.000 0.000
Ni1 Ni 0.000 0.000 0.500
B1 B 0.250 0.250 0.250
W1 W 0.250 0.250 0.750



# LiYNiB PBE optimized geometry
# Total magnetization = 0.02 μB/f.u.
# Offset from the most stable computed form = 0.0147 eV per atom
data_LiYNiB
_chemical_formula_sum 'Li4 Y4 Ni4 B4'
_symmetry_space_group_name_H-M 'F -4 3 m'
_symmetry_Int_Tables_number 216
_symmetry_space_group_name_Hall 'F -4 2 3'
_cell_length_a 6.185
_cell_length_b 6.185
_cell_length_c 6.185
_cell_angle_alpha 90.00
_cell_angle_beta 90.00
_cell_angle_gamma 90.00
loop_
_atom_site_label
_atom_site_type_symbol
_atom_site_fract_x
_atom_site_fract_y
_atom_site_fract_z
Li1 Li 0.000 0.000 0.000
Y1 Y 0.000 0.000 0.500
Ni1 Ni 0.250 0.250 0.750
B1 B 0.250 0.250 0.250



# LiYNiB PBE optimized geometry
# Total magnetization = 0.58 μB/f.u.
# Offset from the most stable computed form = 0.0000 eV per atom
data_LiYNiB
_chemical_formula_sum 'Li4 Y4 Ni4 B4'
_symmetry_space_group_name_H-M 'F -4 3 m'
_symmetry_Int_Tables_number 216
_symmetry_space_group_name_Hall 'F -4 2 3'
_cell_length_a 6.004
_cell_length_b 6.004
_cell_length_c 6.004
_cell_angle_alpha 90.00
_cell_angle_beta 90.00
_cell_angle_gamma 90.00
loop_
_atom_site_label
_atom_site_type_symbol
_atom_site_fract_x
_atom_site_fract_y
_atom_site_fract_z
Li1 Li 0.000 0.000 0.000
Y1 Y 0.250 0.250 0.750
Ni1 Ni 0.000 0.000 0.500
B1 B 0.250 0.250 0.250



# Li4PaBO6 PBE optimized geometry
# Calculated total energy = -0.2447 Ha/atom
# Total magnetization = 0.00 μB/f.u.
data_Li4PaBO6
_chemical_formula_sum 'Li8 Pa2 B2 O12'
_symmetry_space_group_name_H-M 'C 1 2 1'
_symmetry_Int_Tables_number 5
_cell_length_a 5.151
_cell_length_b 8.881
_cell_length_c 5.158
_cell_angle_alpha 90.00
_cell_angle_beta 103.69
_cell_angle_gamma 90.00
loop_
_symmetry_equiv_pos_as_xyz
'x,y,z'
'-x,y,-z'
'x+1/2,y+1/2,z'
'-x+1/2,y+1/2,-z'
loop_
_atom_site_label
_atom_site_type_symbol
_atom_site_fract_x
_atom_site_fract_y
_atom_site_fract_z
Li1 Li 0.000 0.000 0.000
Li2 Li 0.000 0.112 0.500
Li3 Li 0.000 0.549 0.500
Li4 Li 0.000 0.822 0.500
Pa1 Pa 0.000 0.367 0.000
B1 B 0.000 0.707 0.000
O1 O 0.184 0.802 0.206
O2 O 0.186 0.626 0.858
O3 O 0.246 0.961 0.675



# Li3Pr2B3O9 PBE optimized geometry
# Calculated total energy = -0.2722 Ha/atom
# Total magnetization = 0.00 μB/f.u.
data_Li3Pr2B3O9
_chemical_formula_sum 'Li12 Pr8 B12 O36'
_symmetry_space_group_name_H-M 'P 1 21/c 1'
_symmetry_Int_Tables_number 14
_cell_length_a 5.756
_cell_length_b 14.149
_cell_length_c 9.345
_cell_angle_alpha 90.00
_cell_angle_beta 113.08
_cell_angle_gamma 90.00
loop_
_symmetry_equiv_pos_as_xyz
'x,y,z'
'-x,-y,-z'
'-x,y+1/2,-z+1/2'
'x,-y+1/2,z+1/2'
loop_
_atom_site_label
_atom_site_type_symbol
_atom_site_fract_x
_atom_site_fract_y
_atom_site_fract_z
Li1 Li 0.051 0.113 0.207
Li2 Li 0.417 0.215 0.209
Li3 Li 0.420 0.666 0.491
Pr1 Pr 0.056 0.664 0.692
Pr2 Pr 0.347 0.002 0.660
B1 B 0.111 0.677 0.018
B2 B 0.263 0.014 0.013
B3 B 0.385 0.164 0.472
O1 O 0.045 0.594 0.932
O2 O 0.086 0.737 0.443
O3 O 0.152 0.006 0.853
O4 O 0.211 0.670 0.179
O5 O 0.312 0.102 0.082
O6 O 0.324 0.243 0.380
O7 O 0.325 0.567 0.604
O8 O 0.332 0.075 0.406
O9 O 0.494 0.169 0.632



# LiReBO4 PBE optimized geometry
# Calculated total energy = -0.2724 Ha/atom
# Total magnetization = 0.99 μB/f.u.
data_LiReBO4
_chemical_formula_sum 'Li2 Re2 B2 O8'
_symmetry_space_group_name_H-M 'I -4'
_symmetry_Int_Tables_number 82
_cell_length_a 4.903
_cell_length_b 4.903
_cell_length_c 6.131
_cell_angle_alpha 90.00
_cell_angle_beta 90.00
_cell_angle_gamma 90.00
loop_
_symmetry_equiv_pos_as_xyz
'x,y,z'
'y,-x,-z'
'-x,-y,z'
'-y,x,-z'
'x+1/2,y+1/2,z+1/2'
'y+1/2,-x+1/2,-z+1/2'
'-x+1/2,-y+1/2,z+1/2'
'-y+1/2,x+1/2,-z+1/2'
loop_
_atom_site_label
_atom_site_type_symbol
_atom_site_fract_x
_atom_site_fract_y
_atom_site_fract_z
Li1 Li 0.000 0.000 0.000
Re1 Re 0.000 0.000 0.500
B1 B 0.000 0.500 0.250
O1 O 0.170 0.681 0.384



# Li4TaBO6 PBE optimized geometry
# Calculated total energy = -0.2546 Ha/atom
# Total magnetization = 0.00 μB/f.u.
data_Li4TaBO6
_chemical_formula_sum 'Li8 Ta2 B2 O12'
_symmetry_space_group_name_H-M 'C 1 2 1'
_symmetry_Int_Tables_number 5
_cell_length_a 4.846
_cell_length_b 9.052
_cell_length_c 4.955
_cell_angle_alpha 90.00
_cell_angle_beta 107.67
_cell_angle_gamma 90.00
loop_
_symmetry_equiv_pos_as_xyz
'x,y,z'
'-x,y,-z'
'x+1/2,y+1/2,z'
'-x+1/2,y+1/2,-z'
loop_
_atom_site_label
_atom_site_type_symbol
_atom_site_fract_x
_atom_site_fract_y
_atom_site_fract_z
Li1 Li 0.000 0.000 0.000
Li2 Li 0.000 0.120 0.500
Li3 Li 0.000 0.518 0.500
Li4 Li 0.000 0.810 0.500
Ta1 Ta 0.000 0.333 0.000
B1 B 0.000 0.711 0.000
O1 O 0.197 0.652 0.831
O2 O 0.226 0.798 0.224
O3 O 0.242 0.458 0.271



# Li4TcBO6 PBE optimized geometry
# Calculated total energy = -0.2332 Ha/atom
# Total magnetization = 2.00 μB/f.u.
data_Li4TcBO6
_chemical_formula_sum 'Li8 Tc2 B2 O12'
_symmetry_space_group_name_H-M 'C 1 2 1'
_symmetry_Int_Tables_number 5
_cell_length_a 4.863
_cell_length_b 8.867
_cell_length_c 4.945
_cell_angle_alpha 90.00
_cell_angle_beta 109.75
_cell_angle_gamma 90.00
loop_
_symmetry_equiv_pos_as_xyz
'x,y,z'
'-x,y,-z'
'x+1/2,y+1/2,z'
'-x+1/2,y+1/2,-z'
loop_
_atom_site_label
_atom_site_type_symbol
_atom_site_fract_x
_atom_site_fract_y
_atom_site_fract_z
Li1 Li 0.000 0.000 0.000
Li2 Li 0.000 0.138 0.500
Li3 Li 0.000 0.502 0.500
Li4 Li 0.000 0.807 0.500
Tc1 Tc 0.000 0.332 0.000
B1 B 0.000 0.722 0.000
O1 O 0.194 0.657 0.835
O2 O 0.226 0.810 0.229
O3 O 0.246 0.462 0.264